(1)
Compound: LaVSe2
Source: Alexandria via LeMat-Bulk
Functional: PBE
Structure: optimized geometry

a = 8.5207 Å, b = 8.5207 Å, c = 8.5207 Å
α = 30.21°, β = 30.21°, γ = 30.21°
With the nearest neighbours (Å) after each atom.
Fractional positions:
La 0.0000 0.0000 0.0000  6 Se 3.01
V 0.5000 0.5000 0.5000  2 Se 2.49
Se 0.3977 0.3977 0.3977  1 V 2.49
Se 0.6023 0.6023 0.6023  1 V 2.49

Its raw formation energy is -0.742 eV/atom. As for the space-group type: R-3m (166).

(2)
Compound: La2NdTm3
Source: Alexandria via LeMat-Bulk
Functional: PBE
Structure: optimized geometry

a = 8.1063 Å, b = 8.1063 Å, c = 6.4638 Å
α = 90.00°, β = 90.00°, γ = 108.37°
With the nearest neighbours (Å) after each atom.
Fractional positions:
La 0.1083 0.2318 0.0000  1 La 3.23, 4 Tm 3.36-3.53
La 0.2318 0.1083 0.5000  1 La 3.23, 4 Tm 3.36-3.53
La 0.7682 0.8917 0.0000  1 La 3.23, 4 Tm 3.36-3.53
La 0.8917 0.7682 0.5000  1 La 3.23, 4 Tm 3.36-3.53
Nd 0.3329 0.6671 0.2819  7 Tm 3.20-3.53
Nd 0.6671 0.3329 0.7819  7 Tm 3.20-3.53
Tm 0.0127 0.6256 0.9749  2 Nd 3.20-3.29, 3 La 3.36-3.53, 1 Tm 3.43
Tm 0.3744 0.9873 0.9749  2 Nd 3.20-3.29, 3 La 3.36-3.53, 1 Tm 3.43
Tm 0.4097 0.5903 0.7594  3 Nd 3.25-3.53, 2 La 3.52, 2 Tm 3.60
Tm 0.5903 0.4097 0.2594  3 Nd 3.25-3.53, 2 La 3.52, 2 Tm 3.60
Tm 0.6256 0.0127 0.4749  2 Nd 3.20-3.29, 3 La 3.36-3.53, 1 Tm 3.43
Tm 0.9873 0.3744 0.4749  2 Nd 3.20-3.29, 3 La 3.36-3.53, 1 Tm 3.43

The calculation puts the energy of formation from the pure elements at 18.8 kJ/mol of atoms. As for the space-group type: Cmc2_1 (36).

(3)
Compound: SrYNiMo2
Source: Alexandria via LeMat-Bulk
Functional: PBE
Structure: optimized geometry

a = 5.1130 Å, b = 5.1130 Å, c = 4.9247 Å
α = 90.00°, β = 90.00°, γ = 90.00°
With the nearest neighbours (Å) after each atom.
Fractional positions:
Sr 0.0000 0.0000 0.0000  8 Mo 3.55, 4 Ni 3.62
Y 0.5000 0.5000 0.5000  2 Ni 2.46, 4 Mo 2.56
Ni 0.5000 0.5000 0.0000  2 Y 2.46
Mo 0.0000 0.5000 0.5000  2 Y 2.56
Mo 0.5000 0.0000 0.5000  2 Y 2.56

The calculation puts the energy of formation from the pure elements at 156.8 kJ/mol of atoms. As for the space-group type: P4/mmm (123).

(4)
Compound: Nd2Sm6Dy3Er
Source: Alexandria via LeMat-Bulk
Functional: PBE
Structure: optimized geometry

a = 6.2453 Å, b = 6.2453 Å, c = 11.9432 Å
α = 94.99°, β = 94.99°, γ = 119.98°
With the nearest neighbours (Å) after each atom.
Fractional positions:
Nd 0.1667 0.8333 0.0000  3 Nd 3.61, 3 Er 3.61, 6 Sm 3.63
Nd 0.8333 0.1667 0.0000  3 Nd 3.61, 3 Er 3.61, 6 Sm 3.63
Sm 0.0838 0.4158 0.7476  3 Dy 3.58-3.59, 6 Sm 3.59-3.61, 1 Er 3.62, 2 Nd 3.63
Sm 0.2520 0.2520 0.2528  3 Dy 3.57-3.58, 6 Sm 3.59-3.61, 1 Er 3.63, 2 Nd 3.63
Sm 0.4158 0.0838 0.7476  3 Dy 3.58-3.59, 6 Sm 3.59-3.61, 1 Er 3.62, 2 Nd 3.63
Sm 0.5842 0.9162 0.2524  3 Dy 3.58-3.59, 6 Sm 3.59-3.61, 1 Er 3.62, 2 Nd 3.63
Sm 0.7480 0.7480 0.7472  3 Dy 3.57-3.58, 6 Sm 3.59-3.61, 1 Er 3.63, 2 Nd 3.63
Sm 0.9162 0.5842 0.2524  3 Dy 3.58-3.59, 6 Sm 3.59-3.61, 1 Er 3.62, 2 Nd 3.63
Dy 0.0000 0.0000 0.5000  6 Sm 3.58, 6 Dy 3.60-3.61
Dy 0.3337 0.6663 0.5000  6 Sm 3.57-3.59, 6 Dy 3.60-3.61
Dy 0.6663 0.3337 0.5000  6 Sm 3.57-3.59, 6 Dy 3.60-3.61
Er 0.5000 0.5000 0.0000  6 Nd 3.61, 6 Sm 3.62-3.63

The calculation puts the energy of formation from the pure elements at 1.4 kJ/mol of atoms. As for the space-group type: C2/m (12).

(5)
Compound: LaMoN3
Source: Alexandria via LeMat-Bulk
Functional: PBE
Structure: optimized geometry

a = 9.6652 Å, b = 9.6652 Å, c = 9.6652 Å
α = 155.59°, β = 155.59°, γ = 34.80°
With the nearest neighbours (Å) after each atom.
Fractional positions:
La 0.0933 0.0933 0.0000  8 N 2.65-2.94
La 0.9067 0.9067 0.0000  8 N 2.65-2.94
Mo 0.5000 0.5000 0.0000  4 N 2.04
Mo 0.7500 0.2500 0.5000  4 N 1.91
N 0.0018 0.5018 0.5000  2 Mo 2.04
N 0.1609 0.3207 0.8402  1 N 1.31
N 0.4805 0.3207 0.1598  1 N 1.31
N 0.4982 0.9982 0.5000  2 Mo 2.04
N 0.6793 0.5195 0.8402  1 N 1.31
N 0.6793 0.8391 0.1598  1 N 1.31

Its raw formation energy is -0.436 eV/atom. As for the space-group type: I-4m2 (119).

(6)
Compound: USnTe
Source: Alexandria via LeMat-Bulk
Functional: PBE
Structure: optimized geometry

a = 13.1755 Å, b = 13.1755 Å, c = 3.1741 Å
α = 90.00°, β = 90.00°, γ = 158.52°
With the nearest neighbours (Å) after each atom.
Fractional positions:
U 0.1499 0.8501 0.7500  2 Te 3.09, 2 U 3.17, 4 Sn 3.27-3.41
U 0.8501 0.1499 0.2500  2 Te 3.09, 2 U 3.17, 4 Sn 3.27-3.41
Sn 0.2665 0.7335 0.2500  6 Sn 3.05-3.17, 4 U 3.27-3.41
Sn 0.7335 0.2665 0.7500  6 Sn 3.05-3.17, 4 U 3.27-3.41
Te 0.4224 0.5776 0.2500  2 U 3.09, 2 Te 3.17
Te 0.5776 0.4224 0.7500  2 U 3.09, 2 Te 3.17

Its raw formation energy is 0.142 eV/atom. As for the space-group type: Cmcm (63).

Result set for E_tot: -5.996, -4.478, -5.493, -4.670, -8.583, -6.002 eV per atom, one per record in the order listed.
Result set for V: 34.69, 33.59, 25.75, 33.11, 15.41, 33.63 Å³/atom, one per record in the order listed.
Result set for total moment: 3.990, 0.000, 4.091, 0.000, 0.000, 6.704 μB/cell, one per record in the order listed.